(1)
# PBE TlCuRu2, optimized geometry
# total moment	0.74	Bohr magnetons per cell
# energy of formation	0.68	eV per atom
data_TlCuRu2
_chemical_formula_sum 'Tl3 Cu3 Ru6'
_space_group_name_H-M_alt 'R -3 m'
_space_group_IT_number 166
_space_group_name_Hall '-R 3 2"'
_cell_length_a 2.9188
_cell_length_b 2.9188
_cell_length_c 25.8874
_cell_angle_alpha 90.00
_cell_angle_beta 90.00
_cell_angle_gamma 120.00
loop_
_atom_site_label
_atom_site_type_symbol
_atom_site_fract_x
_atom_site_fract_y
_atom_site_fract_z
_atom_site_occupancy
Tl1 Tl 0.0000 0.0000 0.0000 1
Cu1 Cu 0.0000 0.0000 0.5000 1
Ru1 Ru 0.0000 0.0000 0.2432 1

(2)
# PBE Mo2HOsPd, optimized geometry
# total moment	0.00	Bohr magnetons per cell
# final energy	-41.08	eV for the cell shown
data_Mo2HOsPd
_chemical_formula_sum 'Mo2 H1 Os1 Pd1'
_space_group_name_H-M_alt 'P 4/m m m'
_space_group_IT_number 123
_space_group_name_Hall '-P 4 2'
_cell_length_a 3.971
_cell_length_b 3.971
_cell_length_c 3.968
_cell_angle_alpha 90.00
_cell_angle_beta 90.00
_cell_angle_gamma 90.00
loop_
_atom_site_label
_atom_site_type_symbol
_atom_site_fract_x
_atom_site_fract_y
_atom_site_fract_z
_atom_site_occupancy
Mo1 Mo 0.000 0.500 0.000 1
H1 H 0.000 0.000 0.000 1
Os1 Os 0.500 0.500 0.500 1
Pd1 Pd 0.000 0.000 0.500 1

(3)
# PBE B2IrRh, optimized geometry
# total moment	0.00	Bohr magnetons per cell
# energy of formation	0.03	eV per atom
data_B2IrRh
_chemical_formula_sum 'B8 Ir4 Rh4'
_space_group_name_H-M_alt 'I -4 2 d'
_space_group_IT_number 122
_space_group_name_Hall 'I -4 2bw'
_cell_length_a 4.693
_cell_length_b 4.693
_cell_length_c 9.443
_cell_angle_alpha 90.00
_cell_angle_beta 90.00
_cell_angle_gamma 90.00
loop_
_atom_site_label
_atom_site_type_symbol
_atom_site_fract_x
_atom_site_fract_y
_atom_site_fract_z
_atom_site_occupancy
B1 B 0.247 0.250 0.125 1
Ir1 Ir 0.000 0.000 0.000 1
Rh1 Rh 0.000 0.000 0.500 1

(4)
# PBE Li5CoSn5, optimized geometry
# total moment	0.00	Bohr magnetons per cell
# energy of formation	-0.17	eV per atom
data_Li5CoSn5
_chemical_formula_sum 'Li10 Co2 Sn10'
_space_group_name_H-M_alt 'C 1 2/m 1'
_space_group_IT_number 12
_cell_length_a 17.561
_cell_length_b 4.815
_cell_length_c 5.945
_cell_angle_alpha 90.00
_cell_angle_beta 109.70
_cell_angle_gamma 90.00
loop_
_space_group_symop_operation_xyz
'x,y,z'
'-x,-y,-z'
'-x,y,-z'
'x,-y,z'
'x+1/2,y+1/2,z'
'-x+1/2,-y+1/2,-z'
'-x+1/2,y+1/2,-z'
'x+1/2,-y+1/2,z'
loop_
_atom_site_label
_atom_site_type_symbol
_atom_site_fract_x
_atom_site_fract_y
_atom_site_fract_z
_atom_site_occupancy
Li1 Li 0.000 0.000 0.000 1
Li2 Li 0.199 0.500 0.198 1
Li3 Li 0.207 0.500 0.706 1
Co1 Co 0.000 0.000 0.500 1
Sn1 Sn 0.000 0.500 0.500 1
Sn2 Sn 0.139 0.000 0.392 1
Sn3 Sn 0.139 0.000 0.884 1

Going through the records in order, we get D(E_F) values of 13.8, 1.9, 0.0, 7.5 states/eV per cell.